A plane-wave DFT calculation with GGA-PBE was carried out for a relaxed structure of Mo2PbSe.

Cell lengths 3.164, 5.610, 8.688 Å; angles 90.00, 90.00, 90.00 degrees
Space group Cmmm (No. 65)
One atom of each set of equivalent atoms:
1 Mo 0.000 0.000 0.222 x4
2 Pb 0.000 0.500 0.500 x2
3 Se 0.000 0.500 0.000 x2

Results
* V: 19.273 Å³/atom
* ρ: 10.30 Mg/m³
* size of the total moment: 0.0 μB per cell
* offset from the most stable computed form: 571 meV per atom
* formation energy from raw total energies: 0.7093 eV/atom